[1]
Er6BiTe5: optimized geometry, PBE.

Properties
For the volume, the calculation gives 28.9 Å³/atom. Its total magnetization is 0.0 Bohr magnetons per cell. The uncorrected formation energy comes out at -1.15 eV/atom. The space group is C2/m (12).

The structure in POSCAR format:
```
Er6BiTe5
1.0
-6.178 0.948 4.249
-4.795 -5.601 -1.320
0.339 -6.263 4.091
Er Te Bi
6 5 1
Cartesian
-2.765 -1.173 0.738
-4.233 -5.105 1.671
-4.914 -1.858 4.429
-6.401 -5.811 5.350
-5.720 -9.058 2.592
-8.208 -3.480 2.192
-2.974 -7.905 1.842
-3.657 -4.642 4.641
-5.487 -2.327 1.465
-1.482 -3.959 0.930
-6.977 -6.275 2.380
0.000 0.000 0.000
```



[2]
MnCrB2: optimized geometry, PBE.

Properties
For the volume, the calculation gives 8.3 Å³/atom. Its total magnetization is 1.9 Bohr magnetons per cell. Its energy relative to the lowest polymorph listed for this composition is 0 meV per atom. The value obtained for the energy of formation from the pure elements is -188 kJ/mol of formula units. The space group is Amm2 (38).

The structure in POSCAR format:
```
MnCrB2
1.0
-1.404 -0.526 2.546
2.578 -0.206 1.380
0.612 4.045 -0.539
B Cr Mn
2 1 1
Cartesian
0.327 2.305 -0.266
1.592 3.216 0.619
0.928 1.348 1.582
-0.413 3.623 1.313
```



[3]
LaZnAs2: optimized geometry, PBE.

Properties
For the volume, the calculation gives 22.2 Å³/atom. Its total magnetization is 0.0 Bohr magnetons per cell. The value obtained for the energy of formation from the pure elements is -212 kJ/mol of formula units. The space group is I4/mmm (139).

The structure in POSCAR format:
```
LaZnAs2
1.0
-0.560 -2.429 -4.951
-3.022 -4.636 0.329
-0.800 5.184 1.794
As La Zn
2 1 1
Cartesian
-1.791 -3.532 -2.311
0.000 0.000 0.000
-1.575 -0.389 -2.734
-2.806 -1.492 -0.094
```